(1)
Material: K4NaF2
Method: DFT, PBE
State: optimized geometry

## Properties
Magnetic moment in μB/f.u.: 0.00
Formation energy without anion corrections in meV per atom: -1078

Lattice parameters (Å, degrees): 6.3007 6.3007 16.0293 90.00 90.00 90.00
With the nearest neighbours (Å) after each atom.
Space group I4/mmm (No. 139)
Inequivalent atoms, fractional coordinates:
K 0.0000 0.0000 0.2373 [4 per cell]  1 F 2.33
K 0.0000 0.5000 0.0000 [4 per cell]  2 Na 3.15, 4 F 3.48
Na 0.0000 0.0000 0.5000 [2 per cell]  4 K 3.15
F 0.0000 0.0000 0.0919 [4 per cell]  1 K 2.33



(2)
Material: LaPr2InH
Method: DFT, PBE
State: optimized geometry

## Properties
E in eV per atom: -4.48
Magnetic moment in μB/f.u.: 0.00

Lattice parameters (Å, degrees): 5.1346 5.1346 4.9316 90.00 90.00 90.00
With the nearest neighbours (Å) after each atom.
Space group P4/mmm (No. 123)
Inequivalent atoms, fractional coordinates:
La 0.0000 0.0000 0.0000 [1 per cell]  2 H 2.47
Pr 0.0000 0.5000 0.5000 [2 per cell]  2 H 2.57
In 0.5000 0.5000 0.0000 [1 per cell]  8 Pr 3.56, 4 La 3.63
H 0.0000 0.0000 0.5000 [1 per cell]  2 La 2.47, 4 Pr 2.57



(3)
Material: CsZn4Au2
Method: DFT, PBE
State: optimized geometry

## Properties
Magnetic moment in μB/f.u.: 0.00
E_form in eV per atom: -0.111

Lattice parameters (Å, degrees): 8.5381 8.5381 4.0984 90.00 90.00 90.00
With the nearest neighbours (Å) after each atom.
Space group P4_2/mnm (No. 136)
Inequivalent atoms, fractional coordinates:
Cs 0.0000 0.0000 0.0000 [2 per cell]  6 Au 3.25-3.46
Zn 0.0819 0.3605 0.5000 [8 per cell]  3 Au 2.71-2.89, 5 Zn 2.76-2.83
Au 0.2310 0.7690 0.5000 [4 per cell]  6 Zn 2.71-2.89



(4)
Material: Ba2LiAlPt2
Method: DFT, PBE
State: optimized geometry

## Properties
Magnetic moment in μB/f.u.: 0.00
E_form in eV per atom: -0.710

Lattice parameters (Å, degrees): 6.1924 16.3722 6.2686 90.00 90.00 90.00
With the nearest neighbours (Å) after each atom.
Space group Ibam (No. 72)
Inequivalent atoms, fractional coordinates:
Ba 0.2394 0.1643 0.0000 [8 per cell]  4 Pt 3.24-3.44, 2 Li 3.45, 2 Al 3.51
Li 0.0000 0.0000 0.2500 [4 per cell]  4 Pt 2.74
Al 0.0000 0.5000 0.2500 [4 per cell]  4 Pt 2.54
Pt 0.2218 0.4116 0.0000 [8 per cell]  2 Al 2.54, 2 Li 2.74



(5)
Material: LiZn3Cd
Method: DFT, PBE
State: optimized geometry

## Properties
Magnetic moment in μB/f.u.: 0.00
Energy above the lowest structure with this stoichiometry in meV/atom: 225
E_form in eV per atom: 0.147

Lattice parameters (Å, degrees): 5.2665 5.2832 5.6276 90.02 117.78 119.74
With the nearest neighbours (Å) after each atom.
Space group P-1 (No. 2)
Inequivalent atoms, fractional coordinates:
Li 0.0000 0.0000 0.0000 [1 per cell]  6 Zn 2.63-2.65
Zn 0.0000 0.5000 0.0000 [1 per cell]  4 Zn 2.63-2.65, 2 Li 2.64, 2 Cd 2.81
Zn 0.5000 0.0000 0.0000 [1 per cell]  2 Li 2.63, 4 Zn 2.64-2.65, 2 Cd 2.83
Zn 0.5000 0.5000 0.0000 [1 per cell]  4 Zn 2.63-2.64, 2 Li 2.65, 2 Cd 2.82
Cd 0.0000 0.5000 0.5000 [1 per cell]  6 Zn 2.81-2.83



(6)
Material: La3Al5O12
Method: DFT, PBE
State: optimized geometry

## Properties
Magnetic moment in μB/f.u.: 0.00
Formation energy without anion corrections in meV per atom: -3198

Lattice parameters (Å, degrees): 12.4836 12.4836 12.4836 90.00 90.00 90.00
With the nearest neighbours (Å) after each atom.
Space group Ia-3d (No. 230)
Inequivalent atoms, fractional coordinates:
La 0.0000 0.2500 0.1250 [24 per cell]  8 O 2.42-2.61
Al 0.0000 0.0000 0.0000 [16 per cell]  6 O 1.97
Al 0.0000 0.2500 0.3750 [24 per cell]  4 O 1.80
O 0.0336 0.0449 0.6474 [96 per cell]  2 Al 1.80-1.97



(7)
Material: MgCo2As
Method: DFT, PBE
State: optimized geometry

## Properties
Magnetic moment in μB/f.u.: 0.00
E_form in eV per atom: 0.213

Lattice parameters (Å, degrees): 6.7198 6.7198 5.3790 90.00 90.00 90.00
With the nearest neighbours (Å) after each atom.
Space group I-42d (No. 122)
Inequivalent atoms, fractional coordinates:
Mg 0.0000 0.0000 0.0000 [4 per cell]  2 As 2.69, 8 Co 2.75-2.92
Co 0.1915 0.2500 0.6250 [8 per cell]  2 As 2.22
As 0.0000 0.0000 0.5000 [4 per cell]  4 Co 2.22



(8)
Material: HfOs2Pt
Method: DFT, PBE
State: optimized geometry

## Properties
Magnetic moment in μB/f.u.: 0.00
E_form in eV per atom: 0.187

Lattice parameters (Å, degrees): 3.8964 3.8964 18.9922 90.00 90.00 90.00
With the nearest neighbours (Å) after each atom.
Space group I-42d (No. 122)
Inequivalent atoms, fractional coordinates:
Hf 0.0000 0.0000 0.0000 [4 per cell]  4 Pt 2.76, 4 Os 2.83
Os 0.1914 0.2500 0.6250 [8 per cell]  2 Os 2.45, 2 Pt 2.67
Pt 0.0000 0.0000 0.5000 [4 per cell]  4 Os 2.67, 4 Hf 2.76



(9)
Material: Ac4NiAg2
Method: DFT, PBE
State: optimized geometry

## Properties
Magnetic moment in μB/f.u.: 0.00
Energy above the lowest structure with this stoichiometry in meV/atom: 0
E_form in eV per atom: -0.194

Lattice parameters (Å, degrees): 15.5905 4.5234 6.7562 90.00 99.76 90.00
With the nearest neighbours (Å) after each atom.
Space group C2/m (No. 12)
Inequivalent atoms, fractional coordinates:
Ac 0.0726 0.0000 0.2896 [4 per cell]  2 Ni 2.99, 2 Ag 3.32
Ac 0.1530 0.5000 0.8278 [4 per cell]  1 Ni 2.97, 2 Ag 3.29
Ni 0.0000 0.5000 0.5000 [2 per cell]  6 Ac 2.97-2.99
Ag 0.2311 0.5000 0.3636 [4 per cell]  2 Ag 2.91



(10)
Material: LiTi2In3
Method: DFT, PBE
State: optimized geometry

## Properties
Magnetic moment in μB/f.u.: 0.00
E_form in eV per atom: -0.176

Lattice parameters (Å, degrees): 3.1190 3.1190 11.7046 90.00 90.00 90.00
With the nearest neighbours (Å) after each atom.
Space group P4/mmm (No. 123)
Inequivalent atoms, fractional coordinates:
Li 0.0000 0.0000 0.0000 [1 per cell]  8 In 2.87, 4 Li 3.12
Ti 0.0000 0.0000 0.3279 [2 per cell]  8 In 2.98-2.99, 4 Ti 3.12
In 0.5000 0.5000 0.1572 [2 per cell]  4 Li 2.87, 4 Ti 2.98, 4 In 3.12
In 0.5000 0.5000 0.5000 [1 per cell]  8 Ti 2.99, 4 In 3.12



(11)
Material: Ac6IrPt2S
Method: DFT, PBE
State: optimized geometry

## Properties
Magnetic moment in μB/f.u.: 0.00
Formation energy without anion corrections in meV per atom: -1019

Lattice parameters (Å, degrees): 7.5629 7.5629 21.4789 90.00 90.00 120.00
With the nearest neighbours (Å) after each atom.
Space group R3 (No. 146, hexagonal axes)
Inequivalent atoms, fractional coordinates:
Ac 0.0016 0.6754 0.0000 [9 per cell]  1 Ir 2.99, 2 Pt 3.09, 1 S 3.18
Ac 0.0222 0.3500 0.1741 [9 per cell]  1 Ir 3.03, 2 Pt 3.05-3.10, 1 S 3.10
Ir 0.0000 0.0000 0.5951 [3 per cell]  6 Ac 2.99-3.03
Pt 0.0000 0.0000 0.4147 [3 per cell]  6 Ac 3.09-3.10
Pt 0.0000 0.0000 0.9128 [3 per cell]  6 Ac 3.05-3.09
S 0.0000 0.0000 0.0937 [3 per cell]  6 Ac 3.10-3.18



(12)
Material: InTc2Sn
Method: DFT, PBE
State: optimized geometry

## Properties
Magnetic moment in μB/f.u.: 0.00
Energy above the lowest structure with this stoichiometry in meV/atom: 0
E_form in eV per atom: 0.299

Lattice parameters (Å, degrees): 6.5208 6.5208 6.5208 90.00 90.00 90.00
With the nearest neighbours (Å) after each atom.
Space group Fm-3m (No. 225)
Inequivalent atoms, fractional coordinates:
In 0.0000 0.0000 0.0000 [4 per cell]  8 Tc 2.82
Tc 0.2500 0.2500 0.2500 [8 per cell]  4 In 2.82, 4 Sn 2.82
Sn 0.0000 0.0000 0.5000 [4 per cell]  8 Tc 2.82



(13)
Material: LiTb3Ho3Te8
Method: DFT, PBE
State: optimized geometry

## Properties
Magnetic moment in μB/f.u.: 0.00
Formation energy without anion corrections in meV per atom: -1324

Lattice parameters (Å, degrees): 8.6723 8.6723 21.2644 90.00 90.00 120.00
With the nearest neighbours (Å) after each atom.
Space group R-3m (No. 166, hexagonal axes)
Inequivalent atoms, fractional coordinates:
Li 0.0000 0.0000 0.0000 [3 per cell]  6 Te 3.06
Tb 0.0000 0.5000 0.5000 [9 per cell]  6 Te 3.08
Ho 0.0000 0.5000 0.0000 [9 per cell]  6 Te 3.06
Te 0.0000 0.0000 0.2509 [6 per cell]  3 Ho 3.06, 3 Tb 3.08
Te 0.0004 0.5002 0.2508 [18 per cell]  2 Ho 3.06, 1 Li 3.06, 2 Tb 3.08



(14)
Material: DyPuGaPb
Method: DFT, PBE
State: optimized geometry

## Properties
Magnetic moment in μB/f.u.: 5.98
E_form in eV per atom: -0.278

Lattice parameters (Å, degrees): 7.4689 7.4689 7.4689 90.00 90.00 90.00
With the nearest neighbours (Å) after each atom.
Space group F-43m (No. 216)
Inequivalent atoms, fractional coordinates:
Dy 0.0000 0.0000 0.0000 [4 per cell]  4 Pb 3.23, 4 Ga 3.23
Pu 0.0000 0.0000 0.5000 [4 per cell]  4 Pb 3.23, 4 Ga 3.23
Ga 0.2500 0.2500 0.2500 [4 per cell]  4 Dy 3.23, 4 Pu 3.23
Pb 0.2500 0.2500 0.7500 [4 per cell]  4 Dy 3.23, 4 Pu 3.23



(15)
Material: TbPm6Pr2Sm3
Method: DFT, PBE
State: optimized geometry

## Properties
Magnetic moment in μB/f.u.: 0.00
E_form in eV per atom: 0.013

Lattice parameters (Å, degrees): 6.3214 10.9466 12.1055 90.00 100.07 90.00
With the nearest neighbours (Å) after each atom.
Space group C2/m (No. 12)
Inequivalent atoms, fractional coordinates:
Tb 0.0000 0.0000 0.0000 [2 per cell]  6 Pr 3.65, 6 Pm 3.65-3.66
Pm 0.2488 0.0000 0.7487 [4 per cell]  3 Sm 3.63-3.64, 6 Pm 3.64-3.65, 1 Tb 3.66, 2 Pr 3.66
Pm 0.2496 0.1661 0.2510 [8 per cell]  6 Pm 3.64-3.66, 3 Sm 3.64, 1 Tb 3.65, 2 Pr 3.66
Pr 0.0000 0.3333 0.0000 [4 per cell]  3 Tb 3.65, 3 Pr 3.65, 6 Pm 3.66
Sm 0.0000 0.1665 0.5000 [4 per cell]  6 Pm 3.63-3.64, 6 Sm 3.65
Sm 0.0000 0.5000 0.5000 [2 per cell]  6 Pm 3.64, 6 Sm 3.65



(16)
Material: Al2TcCl
Method: DFT, PBE
State: optimized geometry

## Properties
Magnetic moment in μB/f.u.: 0.00
Energy above the lowest structure with this stoichiometry in meV/atom: 0
Formation energy without anion corrections in meV per atom: -423

Lattice parameters (Å, degrees): 2.9991 3.2008 7.2250 90.00 90.00 90.00
With the nearest neighbours (Å) after each atom.
Space group Pmmm (No. 47)
Inequivalent atoms, fractional coordinates:
Al 0.0000 0.0000 0.1946 [2 per cell]  4 Tc 2.61, 2 Cl 2.67, 1 Al 2.81
Tc 0.5000 0.5000 0.0000 [1 per cell]  8 Al 2.61
Cl 0.5000 0.0000 0.5000 [1 per cell]  4 Al 2.67



(17)
Material: RbTl2In4
Method: DFT, PBE
State: optimized geometry

## Properties
Magnetic moment in μB/f.u.: 0.00
Energy above the lowest structure with this stoichiometry in meV/atom: 66
E_form in eV per atom: 0.010

Lattice parameters (Å, degrees): 4.8754 5.0359 19.1265 90.00 90.00 90.00
With the nearest neighbours (Å) after each atom.
Space group Immm (No. 71)
Inequivalent atoms, fractional coordinates:
Rb 0.0000 0.0000 0.0000 [2 per cell]  12 In 3.81-3.96
Tl 0.0000 0.5000 0.1828 [4 per cell]  3 In 2.95-3.15
In 0.0000 0.0000 0.4215 [4 per cell]  3 In 2.99-3.00, 2 Tl 3.15
In 0.0000 0.5000 0.3370 [4 per cell]  1 Tl 2.95, 2 In 2.99



(18)
Material: PuThMn3
Method: DFT, PBE
State: optimized geometry

## Properties
Magnetic moment in μB/f.u.: 0.76
E_form in eV per atom: 0.180

Lattice parameters (Å, degrees): 5.1990 8.9177 8.0584 90.00 90.00 90.00
With the nearest neighbours (Å) after each atom.
Space group Imma (No. 74)
Inequivalent atoms, fractional coordinates:
Pu 0.0000 0.0000 0.0000 [4 per cell]  4 Mn 2.40
Th 0.0000 0.2500 0.4439 [4 per cell]  7 Mn 2.97-3.26
Mn 0.0000 0.2500 0.8125 [4 per cell]  4 Mn 2.48, 2 Pu 2.69
Mn 0.2500 0.0194 0.7500 [8 per cell]  2 Pu 2.40, 4 Mn 2.48-2.60



(19)
Material: LiSmCd5
Method: DFT, PBE
State: optimized geometry

## Properties
Magnetic moment in μB/f.u.: 0.00
E_form in eV per atom: -0.108

Lattice parameters (Å, degrees): 5.9754 8.8516 6.7198 90.00 90.00 90.00
With the nearest neighbours (Å) after each atom.
Space group Cmmm (No. 65)
Inequivalent atoms, fractional coordinates:
Li 0.0000 0.0000 0.0000 [2 per cell]  10 Cd 2.99-3.11
Sm 0.0000 0.5000 0.5000 [2 per cell]  10 Cd 3.20-3.36
Cd 0.0000 0.5000 0.0000 [2 per cell]  2 Li 2.99, 8 Cd 3.11
Cd 0.2500 0.2500 0.2387 [8 per cell]  5 Cd 2.99-3.21, 2 Li 3.11, 2 Sm 3.20



(20)
Material: P2RuNO
Method: DFT, PBE
State: optimized geometry

## Properties
Magnetic moment in μB/f.u.: 0.00
Energy above the lowest structure with this stoichiometry in meV/atom: 116
Formation energy without anion corrections in meV per atom: -481

Lattice parameters (Å, degrees): 2.7882 4.0511 5.6266 96.79 90.14 91.17
With the nearest neighbours (Å) after each atom.
Space group P1 (No. 1)
Inequivalent atoms, fractional coordinates:
P 0.0000 0.0000 0.0000 [1 per cell]  1 N 1.75
P 0.4953 0.9955 0.5084 [1 per cell]  1 O 1.53
Ru 0.4895 0.6432 0.1747 [1 per cell]  1 O 2.11, 3 P 2.22-2.31
N 0.9947 0.9468 0.6865 [1 per cell]  3 P 1.74-1.75
O 0.5017 0.3615 0.4671 [1 per cell]  1 P 1.53



(21)
Material: AlP2Pb
Method: DFT, PBE
State: optimized geometry

## Properties
Magnetic moment in μB/f.u.: 0.00
Energy above the lowest structure with this stoichiometry in meV/atom: 263
E_form in eV per atom: 0.161

Lattice parameters (Å, degrees): 3.2953 3.2953 7.4716 90.00 90.00 90.00
With the nearest neighbours (Å) after each atom.
Space group P4/mmm (No. 123)
Inequivalent atoms, fractional coordinates:
Al 0.0000 0.0000 0.0000 [1 per cell]  8 P 2.60
P 0.5000 0.5000 0.1558 [2 per cell]  1 P 2.33, 4 Al 2.60
Pb 0.0000 0.0000 0.5000 [1 per cell]  4 Pb 3.30, 8 P 3.47